Mn2MoF PBEsol relaxed; SG = Fm-3m; DOS(E_F) = 4.18 states/eV per cell; formation energy (no corrections) = 0.4396 eV per atom; mass density = 7.239 Mg/m³; E_tot = -7.865 eV/atom
1.0
4.1781 0.0000 0.0000
2.0890 3.6183 0.0000
2.0890 1.2061 3.4114
F Mn Mo
1 2 1
Direct
0.0000 0.0000 0.0000
0.2500 0.2500 0.2500
0.7500 0.7500 0.7500
0.5000 0.5000 0.5000